[1]
A plane-wave DFT calculation with PBE-GGA was carried out for a relaxed Mg2Cu5Ge2Au3 crystal.

Output
formation energy from the elements: -58.2 meV per atom
Fermi-level density of states: 3.09 states/eV/f.u.
calculated total energy: -86.9 eV for the cell shown

abc: 3.7042 3.7042 29.0432
angles: 90.00 90.00 90.00
Space group I4/mmm (No. 139)
Unique sites:
1 Mg 0.0000 0.0000 0.2197
2 Cu 0.0000 0.0000 0.0000
3 Cu 0.0000 0.5000 0.0678
4 Ge 0.0000 0.0000 0.1260
5 Au 0.0000 0.0000 0.3152
6 Au 0.0000 0.0000 0.5000

***

[2]
A plane-wave DFT calculation with PBE-GGA was carried out for a relaxed Cu2GeAuN crystal.

Output
formation energy (no corrections): 464 meV per atom
Fermi-level density of states: 2.48 states/eV/f.u.
calculated total energy: -22.1 eV for the cell shown

abc: 3.7525 3.7525 5.5758
angles: 90.00 90.00 90.00
Space group P4/mmm (No. 123)
Unique sites:
1 Cu 0.0000 0.5000 0.0000
2 Ge 0.0000 0.0000 0.5000
3 Au 0.5000 0.5000 0.5000
4 N 0.5000 0.5000 0.0000

***

[3]
A plane-wave DFT calculation with PBE-GGA was carried out for a relaxed Na2CuGe4Au3 crystal.

Output
formation energy from the elements: -120.5 meV per atom
Fermi-level density of states: 3.20 states/eV/f.u.
calculated total energy: -36.2 eV for the cell shown

abc: 4.2797 4.2797 11.1640
angles: 90.00 90.00 90.00
Space group P-4m2 (No. 115)
Unique sites:
1 Na 0.0000 0.5000 0.2387
2 Cu 0.5000 0.5000 0.0000
3 Ge 0.0000 0.0000 0.5000
4 Ge 0.0000 0.5000 0.8724
5 Ge 0.5000 0.5000 0.5000
6 Au 0.0000 0.0000 0.0000
7 Au 0.0000 0.5000 0.6466

***

[4]
A plane-wave DFT calculation with PBE-GGA was carried out for a relaxed NbCuGeAu2 crystal.

Output
formation energy from the elements: 782.2 meV per atom
Fermi-level density of states: 4.52 states/eV/f.u.
calculated total energy: -21.4 eV for the cell shown

abc: 4.6864 4.6864 4.7369
angles: 90.00 90.00 90.00
Space group P4/mmm (No. 123)
Unique sites:
1 Nb 0.0000 0.0000 0.0000
2 Cu 0.0000 0.0000 0.5000
3 Ge 0.5000 0.5000 0.0000
4 Au 0.0000 0.5000 0.5000

***

[5]
A plane-wave DFT calculation with PBE-GGA was carried out for a relaxed Nd2Cu4Ge3Au crystal.

Output
formation energy from the elements: -473.5 meV per atom
Fermi-level density of states: 5.63 states/eV/f.u.
calculated total energy: -47.8 eV for the cell shown

abc: 4.2642 4.2642 10.0445
angles: 90.00 90.00 90.00
Space group P-4m2 (No. 115)
Unique sites:
1 Nd 0.0000 0.5000 0.2427
2 Cu 0.0000 0.0000 0.0000
3 Cu 0.0000 0.5000 0.6371
4 Cu 0.5000 0.5000 0.0000
5 Ge 0.0000 0.5000 0.8724
6 Ge 0.5000 0.5000 0.5000
7 Au 0.0000 0.0000 0.5000

***

[6]
A plane-wave DFT calculation with PBE-GGA was carried out for a relaxed NdCuGe2Au crystal.

Output
formation energy from the elements: -532.1 meV per atom
Fermi-level density of states: 1.28 states/eV/f.u.
calculated total energy: -48.1 eV for the cell shown

abc: 4.2814 4.2814 10.5860
angles: 90.00 90.00 90.00
Space group I-4m2 (No. 119)
Unique sites:
1 Nd 0.0000 0.0000 0.0000
2 Cu 0.0000 0.5000 0.7500
3 Ge 0.0000 0.0000 0.3824
4 Au 0.0000 0.5000 0.2500